1.
Computed, not measured: a relaxed structure of SmPuSe2 at the PBE level of DFT.

Computed properties:
Space group ... I4_1/amd (141)

a = 7.215 Å, b = 7.215 Å, c = 7.215 Å
α = 131.88°, β = 131.88°, γ = 70.42°
Each line ends with the local moment (μB).
Element x y z (fractional)
Pu (0.750, 0.250, 0.500)  5.46
Pu (0.000, 0.000, 0.000)  5.46
Se (0.502, 0.002, 0.500)  -0.05
Se (0.998, 0.498, 0.500)  -0.05
Se (0.752, 0.752, 0.000)  -0.05
Se (0.248, 0.248, 0.000)  -0.05
Sm (0.500, 0.500, 0.000)  0.07
Sm (0.250, 0.750, 0.500)  0.07

2.
Computed, not measured: a relaxed structure of Tb3PuSe4 at the PBE level of DFT.

Computed properties:
Space group ... Cmmm (65)

a = 7.109 Å, b = 7.109 Å, c = 4.083 Å
α = 90.00°, β = 90.00°, γ = 109.24°
Each line ends with the local moment (μB).
Element x y z (fractional)
Se (0.749, 0.251, 0.500)  -0.01
Se (0.251, 0.749, 0.500)  -0.01
Se (0.252, 0.252, 0.000)  -0.03
Se (0.748, 0.748, 0.000)  -0.03
Tb (0.500, 0.000, 0.000)  0.08
Tb (0.000, 0.500, 0.000)  0.04
Tb (0.500, 0.500, 0.500)  -0.02
Pu (0.000, 0.000, 0.500)  5.46

3.
Computed, not measured: a relaxed structure of Pu2TeSe3 at the PBE level of DFT.

Computed properties:
Space group ... Pm (6)

a = 6.459 Å, b = 4.216 Å, c = 7.323 Å
α = 90.00°, β = 90.01°, γ = 90.00°
Each line ends with the local moment (μB).
Element x y z (fractional)
Pu (0.987, 0.500, 0.994)  4.68
Pu (0.991, 0.000, 0.506)  4.67
Te (0.266, 0.000, 0.166)  -0.29
Se (0.215, 0.500, 0.668)  -0.24
Se (0.764, 0.000, 0.834)  -0.22
Se (0.777, 0.500, 0.331)  -0.23

4.
Computed, not measured: a relaxed structure of Pu2Te3Se at the PBE level of DFT.

Computed properties:
Space group ... Pm (6)

a = 6.677 Å, b = 4.323 Å, c = 7.488 Å
α = 90.00°, β = 90.27°, γ = 90.00°
Each line ends with the local moment (μB).
Element x y z (fractional)
Te (0.246, 0.000, 0.168)  -0.28
Te (0.258, 0.500, 0.667)  -0.27
Te (0.735, 0.500, 0.333)  -0.26
Se (0.782, 0.000, 0.832)  -0.22
Pu (0.986, 0.500, 0.993)  4.75
Pu (0.992, 0.000, 0.507)  4.78

5.
Computed, not measured: a relaxed structure of PuTeSe at the PBE level of DFT.

Computed properties:
Space group ... P-1 (2)

a = 7.157 Å, b = 8.569 Å, c = 8.575 Å
α = 60.04°, β = 72.49°, γ = 68.82°
Each line ends with the local moment (μB).
Element x y z (fractional)
Se (0.281, 0.628, 0.363)  -0.23
Se (0.719, 0.372, 0.637)  -0.23
Se (0.724, 0.372, 0.129)  -0.22
Se (0.276, 0.628, 0.871)  -0.22
Te (0.251, 0.150, 0.860)  -0.28
Te (0.754, 0.850, 0.632)  -0.28
Te (0.246, 0.150, 0.368)  -0.28
Te (0.749, 0.850, 0.140)  -0.28
Pu (0.520, 0.260, 0.489)  4.72
Pu (0.511, 0.258, 0.995)  4.73
Pu (0.480, 0.740, 0.511)  4.72
Pu (0.489, 0.742, 0.005)  4.73

6.
Computed, not measured: a relaxed structure of TmPuSe2 at the PBE level of DFT.

Computed properties:
Space group ... P4/nmm (129)

a = 4.081 Å, b = 4.076 Å, c = 11.515 Å
α = 90.00°, β = 90.02°, γ = 90.00°
Each line ends with the local moment (μB).
Element x y z (fractional)
Pu (0.516, 0.500, 0.479)  5.51
Pu (0.016, 0.000, 0.737)  5.44
Se (0.517, 0.500, 0.225)  0.00
Se (0.017, 0.000, 0.991)  0.00
Se (0.516, 0.500, 0.733)  -0.08
Se (0.016, 0.000, 0.483)  -0.08
Tm (0.017, 0.000, 0.238)  0.05
Tm (0.517, 0.500, 0.978)  0.05

7.
Computed, not measured: a relaxed structure of Tm3PuSe4 at the PBE level of DFT.

Computed properties:
Space group ... Cmmm (65)

a = 7.006 Å, b = 7.006 Å, c = 4.018 Å
α = 90.00°, β = 90.00°, γ = 109.19°
Each line ends with the local moment (μB).
Element x y z (fractional)
Tm (0.000, 0.500, 0.500)  0.04
Tm (0.500, 0.000, 0.500)  0.09
Tm (0.500, 0.500, 0.000)  -0.03
Se (0.746, 0.254, 0.000)  -0.01
Se (0.257, 0.257, 0.500)  -0.02
Se (0.254, 0.746, 0.000)  -0.01
Se (0.743, 0.743, 0.500)  -0.02
Pu (0.000, 0.000, 0.000)  5.47

8.
Computed, not measured: a relaxed structure of TmPu2Se3 at the PBE level of DFT.

Computed properties:
Space group ... Immm (71)

a = 7.107 Å, b = 7.107 Å, c = 7.107 Å
α = 146.45°, β = 131.75°, γ = 60.05°
Each line ends with the local moment (μB).
Element x y z (fractional)
Pu (0.168, 0.168, 0.000)  5.49
Pu (0.832, 0.832, 0.000)  5.49
Se (0.662, 0.162, 0.500)  -0.06
Se (0.000, 0.500, 0.500)  -0.06
Se (0.338, 0.838, 0.500)  -0.06
Tm (0.500, 0.500, 0.000)  0.12

Computed E_tot (eV/f.u.) in order:
-32.8, -56.0, -48.7, -46.6, -23.8, -32.2, -54.9, -53.1